DFT (PBE-GGA) results for an optimized crystal structure of Dy5Ho2Th6.

Summary:
- SG: Pbam
- Calculated density: 9.94 g cm⁻³
- E_form: 184 kJ/mol of formula units
- Final energy: -149.55 eV for the cell shown

extended XYZ file:
```
26
Lattice="-2.3654 -0.7769 2.4863 8.6051 -0.6183 7.9934 -2.3101 19.9249 4.0280" Properties=species:S:1:pos:R:3 pbc="T T T"
Ho -0.2812 15.3358 4.5243
Dy 5.5085 0.3909 7.8525
Th 1.1491 1.8090 4.1482
Th -0.9200 11.8371 5.3131
Ho 4.1374 14.0255 8.3186
Th 0.4043 1.3691 0.8124
Th 6.6243 12.1747 10.1063
Dy -1.5789 18.1389 6.6553
Th 4.8496 6.6927 9.1947
Dy 3.1839 4.8348 7.0295
Dy -0.9790 3.9394 2.7893
Dy 0.3455 8.1211 5.3560
Th 2.7805 16.7208 10.3596
Dy -2.3378 9.5740 3.2572
Th 1.8147 16.8574 6.9937
Th 3.8787 8.2027 6.2531
Th 5.8907 17.9376 11.2090
Th 2.4163 11.1040 5.7683
Dy 0.7456 13.6950 7.4782
Dy 3.1198 -0.6976 5.2399
Dy 3.5840 10.4086 9.1518
Ho 6.5762 3.9708 7.4971
Th -0.3293 7.1319 1.9151
Th 4.4803 2.4493 5.0277
Ho 2.1576 5.2811 3.7028
Dy 4.9085 14.5904 11.7184
```